DFT (PBE) results for CaNdTlRh after structural relaxation.

Computed properties:
DFT total energy, eV/atom: -4.49
Distance to the lowest polymorph of the same formula, eV/atom: 0.0971
Spin magnetization, Bohr magnetons per cell: 0.00
Calculated formation energy, eV per atom: -0.368

Cell lengths 5.212, 5.212, 5.212 Å; angles 60.00, 60.00, 60.00 degrees
Fractional positions:
Ca: 0.000 0.000 0.000
Nd: 0.500 0.500 0.500
Tl: 0.750 0.750 0.750
Rh: 0.250 0.250 0.250

=====

DFT (PBE) results for AcCeIrAu after structural relaxation.

Computed properties:
DFT total energy, eV/atom: -6.11
Distance to the lowest polymorph of the same formula, eV/atom: 0.1346
Spin magnetization, Bohr magnetons per cell: 0.91
Calculated formation energy, eV per atom: -0.568

Cell lengths 5.237, 5.237, 5.237 Å; angles 60.00, 60.00, 60.00 degrees
Fractional positions:
Ac: 0.000 0.000 0.000
Ce: 0.500 0.500 0.500
Ir: 0.750 0.750 0.750
Au: 0.250 0.250 0.250

=====

What did the first record say?
DFT (PBE) results for CaNdTlRh after structural relaxation.

Computed properties:
DFT total energy, eV/atom: -4.49
Distance to the lowest polymorph of the same formula, eV/atom: 0.0971
Spin magnetization, Bohr magnetons per cell: 0.00
Calculated formation energy, eV per atom: -0.368

Cell lengths 5.212, 5.212, 5.212 Å; angles 60.00, 60.00, 60.00 degrees
Fractional positions:
Ca: 0.000 0.000 0.000
Nd: 0.500 0.500 0.500
Tl: 0.750 0.750 0.750
Rh: 0.250 0.250 0.250

=====

Q: Among the records above, which one has the lowest spin magnetization?
A: CaNdTlRh

=====

Q: Number 2 is which compound?
A: AcCeIrAu

=====

Q: Look up the spin magnetization of the second one.
A: 0.91 Bohr magnetons per cell